Entry 1:
Density functional theory data (PBE) for an optimized crystal structure of Sc2Cd2In.

Computed properties:
Symmetry: Cmmm
ρ in g/cm3: 6.4
DOS(E_F) in states/eV per atom: 0.855
Formation enthalpy at 0 K in meV/atom: -286
Magnetization in μB per cell: 0.6
Offset from the most stable computed form in kcal/mol of atoms: 0.000

Unit cell a=3.177 b=4.690 c=7.823 alpha=72.55 beta=90.00 gamma=90.00
Last column: magnetic moment on the atom in μB.
Fractional positions:
Sc 0.500 0.608 0.785  0.19
Sc 0.500 0.392 0.215  0.19
Cd 0.000 0.800 0.399  0.00
Cd 0.000 0.200 0.601  0.00
In 0.000 0.000 0.000  0.00

=====

Entry 2:
Density functional theory data (PBE) for an optimized crystal structure of Sc2CdIn.

Computed properties:
Symmetry: C2/m
ρ in g/cm3: 5.5
DOS(E_F) in states/eV per atom: 0.607
Formation enthalpy at 0 K in meV/atom: -221
Magnetization in μB per cell: 0.0
Offset from the most stable computed form in kcal/mol of atoms: 3.643

Unit cell a=5.188 b=5.188 c=5.825 alpha=78.92 beta=78.92 gamma=38.18
Fractional positions:
In 0.250 0.250 0.250
Cd 0.750 0.750 0.750
Sc 0.500 0.500 0.500
Sc 0.000 0.000 0.000

=====

Entry 3:
Density functional theory data (PBE) for an optimized crystal structure of Sc3CdIn3.

Computed properties:
Symmetry: Cmmm
ρ in g/cm3: 5.9
DOS(E_F) in states/eV per atom: 0.686
Formation enthalpy at 0 K in meV/atom: -318
Magnetization in μB per cell: 1.4

Unit cell a=7.047 b=7.047 c=6.722 alpha=90.00 beta=90.00 gamma=90.02
Last column: magnetic moment on the atom in μB.
Fractional positions:
In 0.276 0.724 0.000  0.00
In 0.720 0.280 0.500  0.00
In 0.275 0.275 0.500  0.00
In 0.280 0.720 0.500  0.00
In 0.725 0.725 0.500  0.00
In 0.724 0.276 0.000  0.00
Sc 0.000 0.500 0.249  0.06
Sc 0.500 0.000 0.751  0.06
Sc 0.000 0.000 0.250  0.35
Sc 0.000 0.000 0.750  0.35
Sc 0.000 0.500 0.751  0.06
Sc 0.500 0.000 0.249  0.06
Cd 0.712 0.712 0.000  0.00
Cd 0.288 0.288 0.000  0.00

=====

Entry 4:
Density functional theory data (PBE) for an optimized crystal structure of Sc2CdIn.

Computed properties:
Symmetry: I-42d
ρ in g/cm3: 5.3
DOS(E_F) in states/eV per atom: 1.147
Formation enthalpy at 0 K in meV/atom: 35
Magnetization in μB per cell: 0.0
Offset from the most stable computed form in kcal/mol of atoms: 9.541

Unit cell a=7.856 b=7.856 c=6.418 alpha=52.26 beta=52.26 gamma=90.00
Fractional positions:
Sc 0.375 0.381 0.750
Sc 0.131 0.625 0.250
Sc 0.619 0.125 0.250
Sc 0.875 0.869 0.750
In 0.000 0.000 0.000
In 0.750 0.250 0.500
Cd 0.250 0.750 0.500
Cd 0.500 0.500 0.000

=====

Entry 5:
Density functional theory data (PBE) for an optimized crystal structure of Sc2CdIn.

Computed properties:
Symmetry: F-43m
ρ in g/cm3: 5.8
DOS(E_F) in states/eV per atom: 1.726
Formation enthalpy at 0 K in meV/atom: -24
Magnetization in μB per cell: 2.3
Offset from the most stable computed form in kcal/mol of atoms: 8.192

Unit cell a=5.056 b=5.056 c=5.056 alpha=60.00 beta=60.00 gamma=60.00
Last column: magnetic moment on the atom in μB.
Fractional positions:
Sc 0.000 0.000 0.000  0.76
Sc 0.250 0.250 0.250  0.77
In 0.750 0.750 0.750  0.01
Cd 0.500 0.500 0.500  0.02

=====

Entry 6:
Density functional theory data (PBE) for an optimized crystal structure of ScCdIn2.

Computed properties:
Symmetry: P4mm
ρ in g/cm3: 6.6
DOS(E_F) in states/eV per atom: 0.683
Formation enthalpy at 0 K in meV/atom: -120
Magnetization in μB per cell: 0.5

Unit cell a=3.244 b=3.244 c=9.189 alpha=90.00 beta=90.00 gamma=90.02
Last column: magnetic moment on the atom in μB.
Fractional positions:
Sc 0.000 0.000 0.503  0.32
Cd 0.500 0.500 0.732  0.01
In 0.000 0.000 0.993  0.00
In 0.500 0.500 0.272  0.01

=====

Entry 7:
Density functional theory data (PBE) for an optimized crystal structure of Sc2CdIn.

Computed properties:
Symmetry: R3m
ρ in g/cm3: 5.5
DOS(E_F) in states/eV per atom: 0.947
Formation enthalpy at 0 K in meV/atom: -104
Magnetization in μB per cell: 0.8
Offset from the most stable computed form in kcal/mol of atoms: 6.333

Unit cell a=10.331 b=10.331 c=10.331 alpha=18.37 beta=18.37 gamma=18.37
Last column: magnetic moment on the atom in μB.
Fractional positions:
Sc 0.000 0.000 0.000  0.21
Sc 0.249 0.249 0.249  0.24
In 0.750 0.750 0.750  0.00
Cd 0.501 0.501 0.501  0.00

=====

Entry 8:
Density functional theory data (PBE) for an optimized crystal structure of Sc2CdIn.

Computed properties:
Symmetry: P4/mmm
ρ in g/cm3: 5.9
DOS(E_F) in states/eV per atom: 0.972
Formation enthalpy at 0 K in meV/atom: -374
Magnetization in μB per cell: 0.0
Offset from the most stable computed form in kcal/mol of atoms: 0.112

Unit cell a=5.039 b=3.518 c=5.038 alpha=90.00 beta=90.00 gamma=90.00
Fractional positions:
Cd 0.000 0.625 0.375
Sc 0.500 0.125 0.375
Sc 0.000 0.125 0.875
In 0.500 0.625 0.875

=====

Entry 9:
Density functional theory data (PBE) for an optimized crystal structure of ScCdIn.

Computed properties:
Symmetry: P1
ρ in g/cm3: 6.7
DOS(E_F) in states/eV per atom: 0.984
Formation enthalpy at 0 K in meV/atom: -268
Magnetization in μB per cell: 0.0

Unit cell a=4.555 b=6.302 c=5.386 alpha=104.03 beta=115.12 gamma=90.03
Fractional positions:
Cd 0.551 0.684 0.999
Cd 0.221 0.515 0.341
Sc 0.214 0.014 0.326
Sc 0.891 0.361 0.682
In 0.882 0.860 0.662
In 0.555 0.193 0.009

=====

Entry 10:
Density functional theory data (PBE) for an optimized crystal structure of Sc7CdIn4.

Computed properties:
Symmetry: C2/m
ρ in g/cm3: 4.8
DOS(E_F) in states/eV per atom: 1.113
Formation enthalpy at 0 K in meV/atom: -75
Magnetization in μB per cell: 2.5

Unit cell a=5.360 b=8.860 c=7.269 alpha=81.43 beta=68.37 gamma=72.39
Last column: magnetic moment on the atom in μB.
Fractional positions:
Sc 0.342 0.590 0.725  0.17
Sc 0.785 0.870 0.559  0.30
Sc 0.930 0.329 0.810  0.25
Sc 0.658 0.410 0.275  0.17
Sc 0.070 0.671 0.190  0.25
Sc 0.500 0.000 0.000  0.21
Sc 0.215 0.130 0.441  0.30
In 0.432 0.778 0.359  -0.01
In 0.295 0.338 0.071  0.00
In 0.705 0.662 0.929  0.00
In 0.568 0.222 0.641  -0.01
Cd 0.000 0.000 0.000  0.02

=====

Entry 11:
Density functional theory data (PBE) for an optimized crystal structure of ScCdIn.

Computed properties:
Symmetry: Pmmm
ρ in g/cm3: 5.4
DOS(E_F) in states/eV per atom: 0.852
Formation enthalpy at 0 K in meV/atom: -87
Magnetization in μB per cell: 0.0

Unit cell a=6.042 b=5.090 c=5.049 alpha=89.97 beta=89.97 gamma=32.61
Fractional positions:
Sc 0.500 0.500 0.000
Cd 0.000 0.500 0.000
In 0.000 0.000 0.500

=====

Entry 12:
Density functional theory data (PBE) for an optimized crystal structure of Sc5CdIn4.

Computed properties:
Symmetry: P4/mmm
ρ in g/cm3: 5.9
DOS(E_F) in states/eV per atom: 0.815
Formation enthalpy at 0 K in meV/atom: -395
Magnetization in μB per cell: 0.0

Unit cell a=3.534 b=3.534 c=17.969 alpha=90.00 beta=90.00 gamma=90.00
Fractional positions:
Sc 0.500 0.500 0.097
Sc 0.500 0.500 0.701
Sc 0.500 0.500 0.500
Sc 0.500 0.500 0.299
Sc 0.500 0.500 0.903
Cd 0.000 0.000 0.000
In 0.000 0.000 0.399
In 0.000 0.000 0.803
In 0.000 0.000 0.197
In 0.000 0.000 0.601

=====

Entry 13:
Density functional theory data (PBE) for an optimized crystal structure of Sc2Cd2In.

Computed properties:
Symmetry: I4/mmm
ρ in g/cm3: 5.5
DOS(E_F) in states/eV per atom: 0.670
Formation enthalpy at 0 K in meV/atom: 109
Magnetization in μB per cell: 1.0
Offset from the most stable computed form in kcal/mol of atoms: 9.115

Unit cell a=4.447 b=4.447 c=7.220 alpha=72.06 beta=72.06 gamma=90.00
Last column: magnetic moment on the atom in μB.
Fractional positions:
Sc 0.250 0.750 0.500  0.35
Sc 0.750 0.250 0.500  0.35
Cd 0.602 0.602 0.796  0.01
Cd 0.398 0.398 0.204  0.01
In 0.000 0.000 0.000  0.00

=====

Entry 14:
Density functional theory data (PBE) for an optimized crystal structure of Sc12CdIn3.

Computed properties:
Symmetry: P4/mmm
ρ in g/cm3: 4.5
DOS(E_F) in states/eV per atom: 1.374
Formation enthalpy at 0 K in meV/atom: -248
Magnetization in μB per cell: 5.5

Unit cell a=4.519 b=4.519 c=18.082 alpha=90.00 beta=90.00 gamma=90.00
Last column: magnetic moment on the atom in μB.
Fractional positions:
Sc 0.000 0.500 0.875  0.28
Sc 0.500 0.500 0.500  0.36
Sc 0.500 0.000 0.625  0.35
Sc 0.500 0.500 0.000  0.20
Sc 0.000 0.500 0.125  0.28
Sc 0.500 0.000 0.875  0.28
Sc 0.500 0.000 0.375  0.35
Sc 0.500 0.500 0.750  0.34
Sc 0.500 0.500 0.250  0.34
Sc 0.000 0.500 0.625  0.35
Sc 0.500 0.000 0.125  0.28
Sc 0.000 0.500 0.375  0.35
In 0.000 0.000 0.249  -0.03
In 0.000 0.000 0.751  -0.03
In 0.000 0.000 0.500  -0.03
Cd 0.000 0.000 0.000  -0.01

=====

Entry 15:
Density functional theory data (PBE) for an optimized crystal structure of Sc5CdIn2.

Computed properties:
Symmetry: I4/mmm
ρ in g/cm3: 5.1
DOS(E_F) in states/eV per atom: 1.173
Formation enthalpy at 0 K in meV/atom: -268
Magnetization in μB per cell: 2.3

Unit cell a=4.627 b=4.627 c=9.166 alpha=104.62 beta=104.62 gamma=90.00
Last column: magnetic moment on the atom in μB.
Fractional positions:
In 0.250 0.250 0.500  0.00
In 0.750 0.750 0.500  0.00
Cd 0.000 0.000 0.000  -0.01
Sc 0.372 0.872 0.743  0.27
Sc 0.872 0.372 0.743  0.27
Sc 0.128 0.628 0.257  0.27
Sc 0.500 0.500 0.000  0.47
Sc 0.628 0.128 0.257  0.27

=====

Entry 16:
Density functional theory data (PBE) for an optimized crystal structure of ScCdIn.

Computed properties:
Symmetry: P-3m1
ρ in g/cm3: 6.5
DOS(E_F) in states/eV per atom: 0.453
Formation enthalpy at 0 K in meV/atom: -261
Magnetization in μB per cell: 0.0

Unit cell a=4.775 b=4.775 c=7.025 alpha=90.00 beta=90.00 gamma=60.00
Fractional positions:
Sc 0.000 0.000 0.763
Sc 0.000 0.000 0.237
In 0.333 0.333 0.444
In 0.667 0.667 0.556
Cd 0.667 0.667 0.981
Cd 0.333 0.333 0.019

=====

Entry 17:
Density functional theory data (PBE) for an optimized crystal structure of ScCdIn3.

Computed properties:
Symmetry: P1
ρ in g/cm3: 6.7
DOS(E_F) in states/eV per atom: 0.463
Formation enthalpy at 0 K in meV/atom: -127
Magnetization in μB per cell: 0.3
Offset from the most stable computed form in kcal/mol of atoms: 0.000

Unit cell a=3.196 b=12.051 c=4.572 alpha=84.91 beta=134.32 gamma=89.83
Last column: magnetic moment on the atom in μB.
Fractional positions:
Sc 0.393 0.139 0.229  0.26
Cd 0.092 0.747 0.918  0.00
In 0.309 0.317 0.648  0.00
In 0.181 0.562 0.499  -0.01
In 0.478 0.961 0.811  0.00

=====

Entry 18:
Density functional theory data (PBE) for an optimized crystal structure of Sc3CdIn2.

Computed properties:
Symmetry: P4/mmm
ρ in g/cm3: 5.9
DOS(E_F) in states/eV per atom: 0.902
Formation enthalpy at 0 K in meV/atom: -386
Magnetization in μB per cell: 0.0

Unit cell a=3.528 b=3.528 c=10.799 alpha=90.00 beta=90.00 gamma=90.00
Fractional positions:
Sc 0.000 0.000 0.338
Sc 0.000 0.000 0.000
Sc 0.000 0.000 0.662
In 0.500 0.500 0.829
In 0.500 0.500 0.171
Cd 0.500 0.500 0.500

=====

Entry 19:
Density functional theory data (PBE) for an optimized crystal structure of Sc2CdIn.

Computed properties:
Symmetry: I-4m2
ρ in g/cm3: 5.8
DOS(E_F) in states/eV per atom: 1.210
Formation enthalpy at 0 K in meV/atom: -243
Magnetization in μB per cell: 0.0
Offset from the most stable computed form in kcal/mol of atoms: 3.140

Unit cell a=5.805 b=5.805 c=5.805 alpha=136.51 beta=136.51 gamma=63.19
Fractional positions:
Sc 0.250 0.750 0.500
Sc 0.000 0.000 0.000
Cd 0.500 0.500 0.000
In 0.750 0.250 0.500

=====

Entry 20:
Density functional theory data (PBE) for an optimized crystal structure of Sc3Cd4In.

Computed properties:
Symmetry: Immm
ρ in g/cm3: 6.1
DOS(E_F) in states/eV per atom: 0.986
Formation enthalpy at 0 K in meV/atom: -73
Magnetization in μB per cell: 0.0

Unit cell a=3.235 b=8.232 c=8.450 alpha=119.15 beta=101.04 gamma=90.00
Fractional positions:
In 0.500 0.000 0.000
Cd 0.355 0.548 0.711
Cd 0.355 0.162 0.711
Cd 0.645 0.452 0.289
Cd 0.645 0.838 0.289
Sc 0.821 0.821 0.641
Sc 0.179 0.179 0.359
Sc 0.000 0.500 0.000

=====

Entry 21:
Density functional theory data (PBE) for an optimized crystal structure of Sc2CdIn.

Computed properties:
Symmetry: R-3m
ρ in g/cm3: 5.2
DOS(E_F) in states/eV per atom: 0.988
Formation enthalpy at 0 K in meV/atom: 64
Magnetization in μB per cell: 0.0
Offset from the most stable computed form in kcal/mol of atoms: 10.211

Unit cell a=11.100 b=11.100 c=11.100 alpha=17.01 beta=17.01 gamma=17.01
Fractional positions:
Cd 0.500 0.500 0.500
Sc 0.908 0.908 0.908
Sc 0.092 0.092 0.092
In 0.000 0.000 0.000

=====

Entry 22:
Density functional theory data (PBE) for an optimized crystal structure of ScCdIn3.

Computed properties:
Symmetry: Pm-3m
ρ in g/cm3: 4.6
DOS(E_F) in states/eV per atom: 0.610
Formation enthalpy at 0 K in meV/atom: 487
Magnetization in μB per cell: 0.0
Offset from the most stable computed form in kcal/mol of atoms: 14.155

Unit cell a=5.662 b=5.662 c=5.662 alpha=90.00 beta=90.00 gamma=90.00
Fractional positions:
In 0.500 0.000 0.000
In 0.000 0.000 0.500
In 0.000 0.500 0.000
Cd 0.500 0.500 0.500
Sc 0.000 0.000 0.000

=====

Entry 23:
Density functional theory data (PBE) for an optimized crystal structure of Sc3Cd4In2.

Computed properties:
Symmetry: C2/m
ρ in g/cm3: 6.7
DOS(E_F) in states/eV per atom: 0.741
Formation enthalpy at 0 K in meV/atom: -278
Magnetization in μB per cell: 0.0

Unit cell a=4.850 b=5.861 c=9.058 alpha=117.61 beta=90.00 gamma=114.44
Fractional positions:
Cd 0.067 0.133 0.402
Cd 0.287 0.573 0.957
Cd 0.933 0.867 0.598
Cd 0.713 0.427 0.043
In 0.392 0.784 0.727
In 0.608 0.216 0.273
Sc 0.000 0.000 0.000
Sc 0.667 0.333 0.668
Sc 0.333 0.667 0.332

=====

Entry 24:
Density functional theory data (PBE) for an optimized crystal structure of Sc2CdIn.

Computed properties:
Symmetry: Pmm2
ρ in g/cm3: 5.7
DOS(E_F) in states/eV per atom: 0.926
Formation enthalpy at 0 K in meV/atom: -194
Magnetization in μB per cell: 0.0
Offset from the most stable computed form in kcal/mol of atoms: 4.275

Unit cell a=3.333 b=4.501 c=6.208 alpha=90.00 beta=90.00 gamma=90.00
Fractional positions:
Cd 0.000 0.000 0.483
In 0.500 0.500 0.769
Sc 0.000 0.000 0.988
Sc 0.500 0.500 0.260

=====

Entry 25:
Density functional theory data (PBE) for an optimized crystal structure of Sc3Cd2In.

Computed properties:
Symmetry: P4/mmm
ρ in g/cm3: 5.9
DOS(E_F) in states/eV per atom: 1.018
Formation enthalpy at 0 K in meV/atom: -341
Magnetization in μB per cell: 0.0
Offset from the most stable computed form in kcal/mol of atoms: 0.180

Unit cell a=3.560 b=3.560 c=10.545 alpha=90.00 beta=90.00 gamma=90.00
Fractional positions:
In 0.500 0.500 0.500
Cd 0.500 0.500 0.836
Cd 0.500 0.500 0.164
Sc 0.000 0.000 0.330
Sc 0.000 0.000 0.670
Sc 0.000 0.000 0.000

=====

Entry 26:
Density functional theory data (PBE) for an optimized crystal structure of Sc4Cd5In.

Computed properties:
Symmetry: C2/m
ρ in g/cm3: 6.5
DOS(E_F) in states/eV per atom: 0.666
Formation enthalpy at 0 K in meV/atom: -284
Magnetization in μB per cell: 0.0

Unit cell a=4.959 b=6.183 c=7.854 alpha=104.54 beta=108.40 gamma=90.00
Fractional positions:
Sc 0.902 0.115 0.804
Sc 0.695 0.308 0.390
Sc 0.098 0.885 0.196
Sc 0.305 0.692 0.610
In 0.500 0.000 0.000
Cd 0.705 0.812 0.410
Cd 0.897 0.598 0.794
Cd 0.103 0.402 0.206
Cd 0.500 0.500 0.000
Cd 0.295 0.188 0.590